Record 1
# PBE CaHg4Pd7, relaxed
# Calculated formation energy   -0.1426 eV per atom
data_CaHg4Pd7
_chemical_formula_sum 'Ca2 Hg8 Pd14'
_space_group_name_H-M_alt 'C 1 2/m 1'
_space_group_IT_number 12
_cell_length_a 10.629
_cell_length_b 5.041
_cell_length_c 10.161
_cell_angle_alpha 90.00
_cell_angle_beta 121.02
_cell_angle_gamma 90.00
loop_
_space_group_symop_operation_xyz
'x,y,z'
'-x,-y,-z'
'-x,y,-z'
'x,-y,z'
'x+1/2,y+1/2,z'
'-x+1/2,-y+1/2,-z'
'-x+1/2,y+1/2,-z'
'x+1/2,-y+1/2,z'
loop_
_atom_site_label
_atom_site_type_symbol
_atom_site_fract_x
_atom_site_fract_y
_atom_site_fract_z
Ca1 Ca 0.000 0.000 0.000
Hg1 Hg 0.086 0.500 0.319
Hg2 Hg 0.183 0.000 0.770
Pd1 Pd 0.000 0.500 0.000
Pd2 Pd 0.115 0.000 0.460
Pd3 Pd 0.158 0.500 0.624
Pd4 Pd 0.204 0.500 0.917

***

Record 2
# PBE CdAg5Sn2, relaxed
# Calculated formation energy   0.0022 eV per atom
data_CdAg5Sn2
_chemical_formula_sum 'Cd2 Ag10 Sn4'
_space_group_name_H-M_alt 'I 4 m m'
_space_group_IT_number 107
_space_group_name_Hall 'I 4 -2'
_cell_length_a 6.091
_cell_length_b 6.091
_cell_length_c 8.588
_cell_angle_alpha 90.00
_cell_angle_beta 90.00
_cell_angle_gamma 90.00
loop_
_atom_site_label
_atom_site_type_symbol
_atom_site_fract_x
_atom_site_fract_y
_atom_site_fract_z
Cd1 Cd 0.000 0.000 0.000
Ag1 Ag 0.000 0.000 0.499
Ag2 Ag 0.250 0.250 0.250
Sn1 Sn 0.000 0.500 0.499

***

Record 3
# PBE ScTiGe2, relaxed
# Polymorph energy (0 for the lowest one)   0 meV per atom
# Calculated formation energy   -0.6030 eV per atom
data_ScTiGe2
_chemical_formula_sum 'Sc4 Ti4 Ge8'
_space_group_name_H-M_alt 'P b c m'
_space_group_IT_number 57
_cell_length_a 8.059
_cell_length_b 6.973
_cell_length_c 5.482
_cell_angle_alpha 90.00
_cell_angle_beta 90.00
_cell_angle_gamma 90.00
loop_
_space_group_symop_operation_xyz
'x,y,z'
'-x,-y,-z'
'-x,-y,z+1/2'
'x,y,-z+1/2'
'x,-y+1/2,-z'
'-x,y+1/2,z'
'-x,y+1/2,-z+1/2'
'x,-y+1/2,z+1/2'
loop_
_atom_site_label
_atom_site_type_symbol
_atom_site_fract_x
_atom_site_fract_y
_atom_site_fract_z
Sc1 Sc 0.125 0.093 0.250
Ti1 Ti 0.379 0.572 0.250
Ge1 Ge 0.142 0.750 0.000
Ge2 Ge 0.389 0.250 0.000

***

Record 4
# PBE SiTcAg2, relaxed
# Formation energy without anion corrections   0.391 eV per atom
data_SiTcAg2
_chemical_formula_sum 'Si2 Tc2 Ag4'
_space_group_name_H-M_alt 'C m m m'
_space_group_IT_number 65
_space_group_name_Hall '-C 2 2'
_cell_length_a 5.288
_cell_length_b 9.014
_cell_length_c 2.694
_cell_angle_alpha 90.00
_cell_angle_beta 90.00
_cell_angle_gamma 90.00
loop_
_atom_site_label
_atom_site_type_symbol
_atom_site_fract_x
_atom_site_fract_y
_atom_site_fract_z
Si1 Si 0.000 0.000 0.000
Tc1 Tc 0.000 0.500 0.000
Ag1 Ag 0.250 0.250 0.500

***

Record 5
# PBE AcIn2Pt, relaxed
# Polymorph energy (0 for the lowest one)   31 meV per atom
# Calculated formation energy   -0.6883 eV per atom
data_AcIn2Pt
_chemical_formula_sum 'Ac8 In16 Pt8'
_space_group_name_H-M_alt 'P n m a'
_space_group_IT_number 62
_cell_length_a 17.261
_cell_length_b 7.931
_cell_length_c 6.014
_cell_angle_alpha 90.00
_cell_angle_beta 90.00
_cell_angle_gamma 90.00
loop_
_space_group_symop_operation_xyz
'x,y,z'
'-x,-y,-z'
'-x+1/2,-y,z+1/2'
'x+1/2,y,-z+1/2'
'x+1/2,-y+1/2,-z+1/2'
'-x+1/2,y+1/2,z+1/2'
'-x,y+1/2,-z'
'x,-y+1/2,z'
loop_
_atom_site_label
_atom_site_type_symbol
_atom_site_fract_x
_atom_site_fract_y
_atom_site_fract_z
Ac1 Ac 0.106 0.250 0.249
Ac2 Ac 0.144 0.750 0.474
In1 In 0.035 0.052 0.755
In2 In 0.214 0.555 0.975
Pt1 Pt 0.072 0.750 0.986
Pt2 Pt 0.173 0.250 0.745

***

Record 6
# PBE Cs8I3ClO2, relaxed
# Formation energy without anion corrections   -1.337 eV per atom
data_Cs8I3ClO2
_chemical_formula_sum 'Cs8 I3 Cl1 O2'
_space_group_name_H-M_alt 'P -3 m 1'
_space_group_IT_number 164
_space_group_name_Hall '-P 3 2"'
_cell_length_a 8.7500
_cell_length_b 8.7500
_cell_length_c 11.2301
_cell_angle_alpha 90.00
_cell_angle_beta 90.00
_cell_angle_gamma 120.00
loop_
_atom_site_label
_atom_site_type_symbol
_atom_site_fract_x
_atom_site_fract_y
_atom_site_fract_z
Cs1 Cs 0.1745 0.3491 0.3021
Cs2 Cs 0.3333 0.6667 0.9616
I1 I 0.0000 0.0000 0.0000
I2 I 0.3333 0.6667 0.6091
Cl1 Cl 0.0000 0.0000 0.5000
O1 O 0.3333 0.6667 0.1890

***

Record 7
# PBE ReNi8Pt3, relaxed
# Calculated formation energy   0.9321 eV per atom
data_ReNi8Pt3
_chemical_formula_sum 'Re2 Ni16 Pt6'
_space_group_name_H-M_alt 'I 4/m m m'
_space_group_IT_number 139
_space_group_name_Hall '-I 4 2'
_cell_length_a 7.682
_cell_length_b 7.682
_cell_length_c 6.941
_cell_angle_alpha 90.00
_cell_angle_beta 90.00
_cell_angle_gamma 90.00
loop_
_atom_site_label
_atom_site_type_symbol
_atom_site_fract_x
_atom_site_fract_y
_atom_site_fract_z
Re1 Re 0.000 0.000 0.000
Ni1 Ni 0.153 0.153 0.238
Pt1 Pt 0.000 0.000 0.500
Pt2 Pt 0.000 0.500 0.250

***

Record 8
# PBE Pb3Cl4, relaxed
# Formation energy without anion corrections   -0.440 eV per atom
data_Pb3Cl4
_chemical_formula_sum 'Pb3 Cl4'
_space_group_name_H-M_alt 'P 6/m m m'
_space_group_IT_number 191
_space_group_name_Hall '-P 6 2'
_cell_length_a 6.4935
_cell_length_b 6.4935
_cell_length_c 5.3780
_cell_angle_alpha 90.00
_cell_angle_beta 90.00
_cell_angle_gamma 120.00
loop_
_atom_site_label
_atom_site_type_symbol
_atom_site_fract_x
_atom_site_fract_y
_atom_site_fract_z
Pb1 Pb 0.0000 0.5000 0.0000
Cl1 Cl 0.0000 0.0000 0.2509
Cl2 Cl 0.3333 0.6667 0.5000

***

Record 9
# PBE Er4InPdRh2, relaxed
# Calculated formation energy   -0.7556 eV per atom
data_Er4InPdRh2
_chemical_formula_sum 'Er12 In3 Pd3 Rh6'
_space_group_name_H-M_alt 'R -3 m'
_space_group_IT_number 166
_space_group_name_Hall '-R 3 2"'
_cell_length_a 4.9469
_cell_length_b 4.9469
_cell_length_c 24.3393
_cell_angle_alpha 90.00
_cell_angle_beta 90.00
_cell_angle_gamma 120.00
loop_
_atom_site_label
_atom_site_type_symbol
_atom_site_fract_x
_atom_site_fract_y
_atom_site_fract_z
Er1 Er 0.0000 0.0000 0.1190
Er2 Er 0.0000 0.0000 0.3705
In1 In 0.0000 0.0000 0.5000
Pd1 Pd 0.0000 0.0000 0.0000
Rh1 Rh 0.0000 0.0000 0.2489

***

Record 10
# PBE MnBeCo, relaxed
# Polymorph energy (0 for the lowest one)   44 meV per atom
# Calculated formation energy   -0.1143 eV per atom
data_MnBeCo
_chemical_formula_sum 'Mn4 Be4 Co4'
_space_group_name_H-M_alt 'C 1 2/m 1'
_space_group_IT_number 12
_cell_length_a 8.039
_cell_length_b 3.769
_cell_length_c 4.467
_cell_angle_alpha 90.00
_cell_angle_beta 122.58
_cell_angle_gamma 90.00
loop_
_space_group_symop_operation_xyz
'x,y,z'
'-x,-y,-z'
'-x,y,-z'
'x,-y,z'
'x+1/2,y+1/2,z'
'-x+1/2,-y+1/2,-z'
'-x+1/2,y+1/2,-z'
'x+1/2,-y+1/2,z'
loop_
_atom_site_label
_atom_site_type_symbol
_atom_site_fract_x
_atom_site_fract_y
_atom_site_fract_z
Mn1 Mn 0.004 0.000 0.259
Be1 Be 0.162 0.500 0.640
Co1 Co 0.171 0.500 0.147

***

Record 11
# PBE CaTiSn2N, relaxed
# Formation energy without anion corrections   1.167 eV per atom
data_CaTiSn2N
_chemical_formula_sum 'Ca1 Ti1 Sn2 N1'
_space_group_name_H-M_alt 'P 4/m m m'
_space_group_IT_number 123
_space_group_name_Hall '-P 4 2'
_cell_length_a 5.237
_cell_length_b 5.237
_cell_length_c 5.875
_cell_angle_alpha 90.00
_cell_angle_beta 90.00
_cell_angle_gamma 90.00
loop_
_atom_site_label
_atom_site_type_symbol
_atom_site_fract_x
_atom_site_fract_y
_atom_site_fract_z
Ca1 Ca 0.000 0.000 0.000
Ti1 Ti 0.000 0.000 0.500
Sn1 Sn 0.000 0.500 0.500
N1 N 0.500 0.500 0.000

***

Record 12
# PBE NaSbOs, relaxed
# Formation energy without anion corrections   0.102 eV per atom
data_NaSbOs
_chemical_formula_sum 'Na4 Sb4 Os4'
_space_group_name_H-M_alt 'I m m 2'
_space_group_IT_number 44
_cell_length_a 3.989
_cell_length_b 15.297
_cell_length_c 4.522
_cell_angle_alpha 90.00
_cell_angle_beta 90.00
_cell_angle_gamma 90.00
loop_
_space_group_symop_operation_xyz
'x,y,z'
'-x,-y,z'
'-x,y,z'
'x,-y,z'
'x+1/2,y+1/2,z+1/2'
'-x+1/2,-y+1/2,z+1/2'
'-x+1/2,y+1/2,z+1/2'
'x+1/2,-y+1/2,z+1/2'
loop_
_atom_site_label
_atom_site_type_symbol
_atom_site_fract_x
_atom_site_fract_y
_atom_site_fract_z
Na1 Na 0.000 0.175 0.000
Sb1 Sb 0.000 0.391 0.014
Os1 Os 0.000 0.000 0.312
Os2 Os 0.000 0.500 0.474

***

Q: Which volume values were calculated for the entries above? A: 466.5, 318.6, 308.1, 128.4, 823.3, 744.6, 409.6, 196.4, 515.8, 114.0, 161.1, 275.9, in Å³ per cell.